CdOsCl2: relaxed, PBE.

Lattice parameters (Å, degrees): 4.9323 4.9323 4.9323 125.44 125.44 80.81
Closest atoms and distances in Å follow each position.
Atoms (fractional coordinates):
Cl1 0.0000 0.0000 0.0000  4 Cd 2.94, 4 Os 2.94, 4 Cl 3.20
Cl2 0.5000 0.5000 0.0000  4 Os 2.94, 4 Cd 2.94, 4 Cl 3.20
Os1 0.2500 0.7500 0.5000  8 Cl 2.94, 4 Cd 3.20
Cd1 0.7500 0.2500 0.5000  8 Cl 2.94, 4 Os 3.20

ΔE to the lowest computed polymorph ... 3.63 eV per formula unit
Raw total energy ... -12.03 eV per cell
Formation energy without anion corrections ... 368 kJ/mol of formula units

---

KUMnN3: relaxed, PBE.

Lattice parameters (Å, degrees): 3.5072 7.7587 8.1449 106.44 90.00 90.00
Closest atoms and distances in Å follow each position.
Atoms (fractional coordinates):
K1 0.2500 0.1968 0.2142  5 N 2.95-3.22
K2 0.7500 0.8032 0.7858  5 N 2.95-3.22
U1 0.2500 0.6641 0.1562  6 N 2.21-2.31
U2 0.7500 0.3359 0.8438  6 N 2.21-2.31
Mn1 0.2500 0.0711 0.5992  4 N 1.89-1.93
Mn2 0.7500 0.9289 0.4008  4 N 1.89-1.93
N1 0.7500 0.8367 0.1553  1 Mn 1.92
N2 0.2500 0.1633 0.8447  1 Mn 1.92
N3 0.2500 0.8430 0.4356  3 Mn 1.89-1.93
N4 0.7500 0.1570 0.5644  3 Mn 1.89-1.93
N5 0.7500 0.4760 0.1258  3 U 2.25
N6 0.2500 0.5240 0.8742  3 U 2.25

Raw total energy ... -102.20 eV per cell
Formation energy without anion corrections ... -441 kJ/mol of formula units

---

TbNdSb2O8: relaxed, PBE.

Lattice parameters (Å, degrees): 5.3350 5.3350 6.8455 112.93 112.93 90.00
Closest atoms and distances in Å follow each position.
Atoms (fractional coordinates):
Tb1 0.0000 0.0000 0.0000  8 O 2.37-2.44
Nd1 0.7500 0.2500 0.5000  8 O 2.42-2.49
Sb1 0.5000 0.5000 0.0000  4 O 1.92
Sb2 0.2500 0.7500 0.5000  4 O 1.92
O1 0.7676 0.8371 0.1723  1 Sb 1.92
O2 0.4047 0.3352 0.1723  1 Sb 1.92
O3 0.5919 0.6677 0.6791  1 Sb 1.92
O4 0.0872 0.0114 0.6791  1 Sb 1.92
O5 0.9886 0.4081 0.3209  1 Sb 1.92
O6 0.3323 0.9128 0.3209  1 Sb 1.92
O7 0.1629 0.5953 0.8277  1 Sb 1.92
O8 0.6648 0.2324 0.8277  1 Sb 1.92

Raw total energy ... -85.07 eV per cell
Formation energy without anion corrections ... -2679 kJ/mol of formula units

---

TlNiH2: relaxed, PBE.

Lattice parameters (Å, degrees): 3.0006 3.0006 6.2144 76.03 76.03 60.00
Closest atoms and distances in Å follow each position.
Atoms (fractional coordinates):
Tl1 0.4971 0.4971 0.5086  6 Tl 3.00, 6 H 3.02-3.12, 1 Ni 3.07
Ni1 0.6686 0.6686 0.9942  6 H 1.78-1.80
H1 0.0256 0.0256 0.9231  3 Ni 1.78, 3 H 1.95
H2 0.3086 0.3086 0.0741  3 Ni 1.80, 3 H 1.95

ΔE to the lowest computed polymorph ... 0.20 eV per formula unit
Raw total energy ... -13.90 eV per cell

---

Tm2TiRh4: relaxed, PBE.

Lattice parameters (Å, degrees): 4.5457 4.5457 7.7675 72.99 72.99 60.00
Closest atoms and distances in Å follow each position.
Atoms (fractional coordinates):
Tm1 0.7594 0.7594 0.7219  8 Rh 2.67-2.90
Tm2 0.2406 0.2406 0.2781  8 Rh 2.67-2.90
Ti1 0.0000 0.0000 0.0000  8 Rh 2.53-2.74
Rh1 0.8848 0.8848 0.3456  1 Ti 2.53, 4 Tm 2.67-2.75
Rh2 0.1152 0.1152 0.6544  1 Ti 2.53, 4 Tm 2.67-2.75
Rh3 0.6307 0.6307 0.1078  3 Ti 2.74, 4 Tm 2.82-2.90, 3 Rh 3.06
Rh4 0.3693 0.3693 0.8922  3 Ti 2.74, 4 Tm 2.82-2.90, 3 Rh 3.06

Formation enthalpy at 0 K ... -0.63 eV/atom
Raw total energy ... -50.63 eV per cell

---

Tb13Nd2: relaxed, PBE.

Lattice parameters (Å, degrees): 6.6627 8.7729 9.0442 110.95 83.57 99.45
Closest atoms and distances in Å follow each position.
Atoms (fractional coordinates):
Tb1 0.7624 0.5760 0.0251  10 Tb 3.36-3.56
Tb2 0.2376 0.4240 0.9749  10 Tb 3.36-3.56
Tb3 0.0000 0.0000 0.0000  12 Tb 3.53-3.87, 2 Nd 3.68
Tb4 0.3341 0.0011 0.6686  11 Tb 3.53-3.87, 3 Nd 3.68-3.70
Tb5 0.6659 0.9989 0.3314  11 Tb 3.53-3.87, 3 Nd 3.68-3.70
Tb6 0.0963 0.5775 0.6937  8 Tb 3.36-3.58, 2 Nd 3.37-3.58
Tb7 0.9037 0.4225 0.3063  8 Tb 3.36-3.58, 2 Nd 3.37-3.58
Tb8 0.4298 0.5780 0.3588  8 Tb 3.36-3.57, 2 Nd 3.37-3.58
Tb9 0.5702 0.4220 0.6412  8 Tb 3.36-3.57, 2 Nd 3.37-3.58
Tb10 0.4676 0.8031 0.9351  6 Tb 3.20-3.56, 1 Nd 3.54
Tb11 0.5324 0.1969 0.0649  6 Tb 3.20-3.56, 1 Nd 3.54
Tb12 0.8656 0.1975 0.7347  2 Nd 3.19-3.56, 5 Tb 3.36-3.56
Tb13 0.1344 0.8025 0.2653  2 Nd 3.19-3.56, 5 Tb 3.36-3.56
Nd1 0.8004 0.8047 0.6022  5 Tb 3.19-3.56
Nd2 0.1996 0.1953 0.3978  5 Tb 3.19-3.56

Formation enthalpy at 0 K ... 0.05 eV/atom
Raw total energy ... -69.05 eV per cell

---

CePuBeN3: relaxed, PBE.

Lattice parameters (Å, degrees): 3.3168 7.1460 6.8930 99.28 90.00 90.00
Closest atoms and distances in Å follow each position.
Atoms (fractional coordinates):
Ce1 0.7500 0.8306 0.7921  7 N 2.44-2.64
Ce2 0.2500 0.1694 0.2079  7 N 2.44-2.64
Pu1 0.2500 0.6518 0.1875  6 N 2.27-2.39
Pu2 0.7500 0.3482 0.8125  6 N 2.27-2.39
Be1 0.2500 0.0773 0.5960  4 N 1.70-1.89
Be2 0.7500 0.9227 0.4040  4 N 1.70-1.89
N1 0.2500 0.8435 0.4960  3 Be 1.70-1.89
N2 0.7500 0.8809 0.1506  1 Be 1.72
N3 0.7500 0.4074 0.1456  3 Pu 2.27-2.39, 2 Ce 2.46
N4 0.7500 0.1565 0.5040  3 Be 1.70-1.89
N5 0.2500 0.5926 0.8544  3 Pu 2.27-2.39, 2 Ce 2.46
N6 0.2500 0.1191 0.8494  1 Be 1.72

Raw total energy ... -112.37 eV per cell
Formation energy without anion corrections ... -696 kJ/mol of formula units

---

Tb3Sb2Te: relaxed, PBE.

Lattice parameters (Å, degrees): 7.6042 7.6145 7.6145 120.02 99.60 99.60
Closest atoms and distances in Å follow each position.
Atoms (fractional coordinates):
Tb1 0.9986 0.1546 0.3269  4 Sb 3.06-3.11, 2 Te 3.15-3.16
Tb2 0.4986 0.3269 0.1546  4 Sb 3.06-3.11, 2 Te 3.15-3.16
Tb3 0.0000 0.5000 0.0000  4 Sb 3.10-3.11, 2 Te 3.12
Tb4 0.0014 0.8454 0.6731  4 Sb 3.06-3.11, 2 Te 3.15-3.16
Tb5 0.5000 0.0000 0.5000  4 Sb 3.10-3.11, 2 Te 3.12
Tb6 0.5014 0.6731 0.8454  4 Sb 3.06-3.11, 2 Te 3.15-3.16
Sb1 0.2500 0.9163 0.0837  6 Tb 3.06-3.11
Sb2 0.2500 0.2526 0.7474  6 Tb 3.07-3.11
Sb3 0.7500 0.0837 0.9163  6 Tb 3.06-3.11
Sb4 0.7500 0.7474 0.2526  6 Tb 3.07-3.11
Te1 0.2500 0.5815 0.4185  6 Tb 3.12-3.16
Te2 0.7500 0.4185 0.5815  6 Tb 3.12-3.16

ΔE to the lowest computed polymorph ... 0.00 eV per formula unit
Raw total energy ... -65.60 eV per cell
Formation energy without anion corrections ... -726 kJ/mol of formula units

---

Ba3Pu2CdO9: relaxed, PBE.

Lattice parameters (Å, degrees): 6.1604 6.1604 7.5950 90.00 90.00 120.00
Closest atoms and distances in Å follow each position.
Atoms (fractional coordinates):
Ba1 0.3333 0.6667 0.6472  12 O 2.98-3.22
Ba2 0.0000 0.0000 0.0000  12 O 3.08
Ba3 0.6667 0.3333 0.3528  12 O 2.98-3.22
Pu1 0.3333 0.6667 0.1646  6 O 2.08-2.17
Pu2 0.6667 0.3333 0.8354  6 O 2.08-2.17
Cd1 0.0000 0.0000 0.5000  6 O 2.29
O1 0.8256 0.1744 0.6760  1 Pu 2.08, 1 Cd 2.29
O2 0.8256 0.6513 0.6760  1 Pu 2.08, 1 Cd 2.29
O3 0.3487 0.1744 0.6760  1 Pu 2.08, 1 Cd 2.29
O4 0.6513 0.8256 0.3240  1 Pu 2.08, 1 Cd 2.29
O5 0.1744 0.3487 0.3240  1 Pu 2.08, 1 Cd 2.29
O6 0.1744 0.8256 0.3240  1 Pu 2.08, 1 Cd 2.29
O7 0.5000 0.0000 0.0000  2 Pu 2.17
O8 0.0000 0.5000 0.0000  2 Pu 2.17
O9 0.5000 0.5000 0.0000  2 Pu 2.17

Raw total energy ... -119.45 eV per cell
Formation energy without anion corrections ... -3809 kJ/mol of formula units

---

Ac6Pd2RhAu: relaxed, PBE.

Lattice parameters (Å, degrees): 7.6879 7.6890 8.3841 62.72 62.71 59.97
Closest atoms and distances in Å follow each position.
Atoms (fractional coordinates):
Ac1 0.5861 0.2465 0.2429  1 Rh 2.99, 2 Pd 3.09-3.11, 1 Au 3.22
Ac2 0.2465 0.9245 0.2429  1 Rh 2.99, 2 Pd 3.09-3.11, 1 Au 3.22
Ac3 0.9247 0.5861 0.2429  1 Rh 2.99, 2 Pd 3.10-3.11, 1 Au 3.22
Ac4 0.4048 0.7273 0.7591  1 Rh 3.02, 2 Pd 3.09-3.11, 1 Au 3.19
Ac5 0.7276 0.1086 0.7588  1 Rh 3.02, 2 Pd 3.09-3.11, 1 Au 3.19
Ac6 0.1085 0.4051 0.7590  1 Rh 3.02, 2 Pd 3.09-3.11, 1 Au 3.19
Pd1 0.5076 0.5075 0.4774  6 Ac 3.09-3.11
Pd2 0.0031 0.0033 0.9904  6 Ac 3.09-3.11
Rh1 0.3265 0.3262 0.0209  6 Ac 2.99-3.02
Au1 0.8261 0.8264 0.5209  6 Ac 3.19-3.22

Formation enthalpy at 0 K ... -0.60 eV/atom
Raw total energy ... -51.67 eV per cell

---

Which size of the total moment belongs to each record? In order, 2.39; 4.35; 0.00; 0.00; 0.00; 0.00; 9.83; 0.00; 6.00; 0.00 μB/cell.